Record 1
## V2Tc2Sb (GGA-PBE)

Data for V2Tc2Sb after structural relaxation. Values from VASP.

Values from the calculation:
* excess energy over the best structure of this formula in the dataset: 0.000 eV per atom
* V: 16.21 Å³ per atom
* theoretical density: 8.6 Mg/m³
* space-group type: P4/mbm, No. 127
* E_form (uncorrected): 252 meV/atom
* DFT total energy: -8.366 eV/atom

Quantum ESPRESSO input file:
```
&SYSTEM
  ibrav = 0, nat = 10, ntyp = 3
/
ATOMIC_SPECIES
Tc 98.00 Tc.upf
Sb 121.76 Sb.upf
V 50.94 V.upf
ATOMIC_POSITIONS angstrom
Tc -4.399 -1.595 5.171
Tc 1.170 -2.184 4.470
Sb -1.854 -2.993 3.847
Sb 0.000 0.000 0.000
V -3.826 -1.387 2.512
V 0.119 -4.598 5.182
V 0.183 -1.919 2.130
Tc -1.682 -0.015 2.712
V -3.890 -4.067 5.565
Tc -1.548 -3.764 6.929
CELL_PARAMETERS angstrom
-6.656 -1.165 2.955
2.948 -4.820 4.739
0.478 2.206 1.947
```

Record 2
## SrMn2Si2 (GGA-PBE)

Data for SrMn2Si2 after structural relaxation. Values from VASP.

Values from the calculation:
* V: 15.82 Å³ per atom
* theoretical density: 5.3 Mg/m³
* space-group type: P4/mbm, No. 127
* E_form (uncorrected): 10 meV/atom
* DFT total energy: -6.163 eV/atom

Quantum ESPRESSO input file:
```
&SYSTEM
  ibrav = 0, nat = 10, ntyp = 3
/
ATOMIC_SPECIES
Si 28.09 Si.upf
Mn 54.94 Mn.upf
Sr 87.62 Sr.upf
ATOMIC_POSITIONS angstrom
Si 3.280 -0.545 4.228
Mn 2.627 -0.126 6.838
Sr 1.293 1.825 4.915
Si 1.742 4.952 4.681
Si 1.514 2.145 1.772
Mn -0.041 3.775 2.993
Mn 1.419 4.005 7.039
Si 3.508 2.261 7.137
Mn 1.167 -0.355 2.791
Sr 0.000 0.000 0.000
CELL_PARAMETERS angstrom
-0.700 6.679 3.638
3.286 -3.029 6.193
2.436 0.757 -0.922
```

Record 3
## CsZn2Pb (GGA-PBE)

Data for CsZn2Pb after structural relaxation. Values from VASP.

Values from the calculation:
* V: 36.09 Å³ per atom
* theoretical density: 5.4 Mg/m³
* space-group type: R-3m, No. 166
* energy relative to the elements: 0.2 eV/f.u.
* DFT total energy: -1.733 eV/atom

Quantum ESPRESSO input file:
```
&SYSTEM
  ibrav = 0, nat = 4, ntyp = 3
/
ATOMIC_SPECIES
Zn 65.41 Zn.upf
Cs 132.91 Cs.upf
Pb 207.20 Pb.upf
ATOMIC_POSITIONS angstrom
Zn 7.484 4.321 6.202
Cs 4.989 2.881 3.348
Zn 2.495 1.440 0.494
Pb 0.000 0.000 0.000
CELL_PARAMETERS angstrom
4.989 0.000 0.000
2.495 4.321 0.000
2.495 1.440 6.696
```

Record 4
## ErTm4Pb2 (GGA-PBE)

Data for ErTm4Pb2 after structural relaxation. Values from VASP.

Values from the calculation:
* V: 29.29 Å³ per atom
* theoretical density: 10.2 Mg/m³
* space-group type: P2_1/m, No. 11
* energy relative to the elements: -1.5 eV/f.u.
* DFT total energy: -4.483 eV/atom

Quantum ESPRESSO input file:
```
&SYSTEM
  ibrav = 0, nat = 14, ntyp = 3
/
ATOMIC_SPECIES
Tm 168.93 Tm.upf
Pb 207.20 Pb.upf
Er 167.26 Er.upf
ATOMIC_POSITIONS angstrom
Tm 0.597 6.488 6.085
Tm -2.645 4.882 7.577
Tm 5.819 4.882 3.575
Pb 3.056 4.882 4.703
Tm 3.617 0.021 1.431
Pb 6.166 4.882 0.207
Er 0.713 4.882 2.792
Tm 6.859 1.627 -0.061
Pb -1.952 1.627 7.309
Er 3.501 1.627 4.724
Tm 0.597 3.276 6.085
Pb 1.157 1.627 2.813
Tm -1.605 1.627 3.942
Tm 3.617 3.233 1.431
CELL_PARAMETERS angstrom
7.985 0.000 -0.709
0.000 6.509 0.000
-3.772 0.000 8.225
```

Record 5
## Dy6CdRh (GGA-PBE)

Data for Dy6CdRh after structural relaxation. Values from VASP.

Values from the calculation:
* V: 32.10 Å³ per atom
* theoretical density: 7.7 Mg/m³
* space-group type: P-1, No. 2
* energy relative to the elements: -0.5 eV/f.u.
* DFT total energy: -4.551 eV/atom

Quantum ESPRESSO input file:
```
&SYSTEM
  ibrav = 0, nat = 8, ntyp = 3
/
ATOMIC_SPECIES
Cd 112.41 Cd.upf
Dy 162.50 Dy.upf
Rh 102.91 Rh.upf
ATOMIC_POSITIONS angstrom
Cd -7.746 -1.167 -3.370
Dy -10.718 -1.585 -3.116
Dy -8.013 -2.697 -5.955
Dy -7.929 1.301 -5.087
Dy -7.564 -3.635 -1.653
Dy -4.774 -0.749 -3.623
Rh 0.000 0.000 0.000
Dy -7.480 0.362 -0.784
CELL_PARAMETERS angstrom
-3.373 -0.955 -5.914
-5.377 -4.327 -0.240
-6.742 2.948 -0.585
```

Record 6
## Ac6Ni3Pd (GGA-PBE)

Data for Ac6Ni3Pd after structural relaxation. Values from VASP.

Values from the calculation:
* V: 32.32 Å³ per atom
* theoretical density: 8.4 Mg/m³
* space-group type: P2_1/m, No. 11
* energy relative to the elements: -2.9 eV/f.u.
* DFT total energy: -5.011 eV/atom

Quantum ESPRESSO input file:
```
&SYSTEM
  ibrav = 0, nat = 20, ntyp = 3
/
ATOMIC_SPECIES
Ac 227.00 Ac.upf
Ni 58.69 Ni.upf
Pd 106.42 Pd.upf
ATOMIC_POSITIONS angstrom
Ac 3.192 1.697 0.120
Ac 1.064 4.202 7.949
Ac 3.192 10.799 -1.518
Ac 3.192 5.488 1.180
Ac 1.064 -1.109 10.647
Ni 1.064 1.481 9.128
Ac 1.064 7.251 -1.853
Ac 1.064 8.786 1.869
Ac 3.192 2.439 10.982
Ac 3.192 6.576 5.163
Ni 1.064 0.615 1.879
Ac 3.192 0.904 7.260
Ni 3.192 3.571 5.950
Ni 3.192 9.075 7.250
Ac 1.064 7.993 9.009
Ac 1.064 3.113 3.966
Pd 3.192 5.541 9.942
Ni 1.064 6.119 3.179
Pd 1.064 4.149 -0.813
Ni 3.192 8.209 0.001
CELL_PARAMETERS angstrom
4.256 0.000 0.000
0.000 11.337 -4.995
0.000 -1.647 14.123
```

Record 7
## CoPS2N (GGA-PBE)

Data for CoPS2N after structural relaxation. Values from VASP.

Values from the calculation:
* excess energy over the best structure of this formula in the dataset: 0.040 eV per atom
* V: 17.58 Å³ per atom
* theoretical density: 3.2 Mg/m³
* space-group type: P1, No. 1
* E_form (uncorrected): -12 meV/atom
* DFT total energy: -5.831 eV/atom

Quantum ESPRESSO input file:
```
&SYSTEM
  ibrav = 0, nat = 5, ntyp = 4
/
ATOMIC_SPECIES
N 14.01 N.upf
P 30.97 P.upf
Co 58.93 Co.upf
S 32.06 S.upf
ATOMIC_POSITIONS angstrom
N 1.840 -3.156 -2.819
P 1.503 -2.438 -1.336
Co -0.465 -0.868 -2.447
S -4.057 -2.565 1.202
S -0.560 -2.450 -0.881
CELL_PARAMETERS angstrom
-0.607 -0.164 -2.759
3.761 -3.735 -0.606
-5.510 -2.237 2.653
```

Record 8
## ZrPW2 (GGA-PBE)

Data for ZrPW2 after structural relaxation. Values from VASP.

Values from the calculation:
* V: 16.67 Å³ per atom
* theoretical density: 12.2 Mg/m³
* space-group type: C2/m, No. 12
* energy relative to the elements: -0.2 eV/f.u.
* DFT total energy: -10.013 eV/atom

Quantum ESPRESSO input file:
```
&SYSTEM
  ibrav = 0, nat = 4, ntyp = 3
/
ATOMIC_SPECIES
W 183.84 W.upf
P 30.97 P.upf
Zr 91.22 Zr.upf
ATOMIC_POSITIONS angstrom
W 0.000 7.169 1.294
P 0.000 0.670 2.221
W 0.000 3.483 3.144
Zr 0.000 4.656 -0.003
CELL_PARAMETERS angstrom
1.611 4.656 -0.003
-1.611 4.656 -0.003
0.000 1.340 4.443
```